3
Lattice="-1.478 3.103 -1.651 0.035 -2.481 -4.693 -4.255 -0.348 3.155" Properties=species:S:1:pos:R:3 comment="SmDyPb (PBE-GGA, optimized geometry)" dos_at_fermi_per_ev_fu=4.12 final_energy_ev_per_atom=-4.55 space_group="P3m1 (156)" magmom_total_mub_per_cell=0.000 de_polymorph_mev_per_atom=230 ef_ev_per_fu=-0.63 pbc="T T T"
Pb -2.432 0.406 -3.235
Sm -3.383 0.113 -0.085
Dy -1.361 2.857 -1.520

12
Lattice="-1.573 -0.816 4.333 4.282 -1.379 1.295 3.404 14.254 3.920" Properties=species:S:1:pos:R:3 comment="Pm2Sn9Pb (PBE-GGA, optimized geometry)" dos_at_fermi_per_ev_fu=5.74 final_energy_ev_per_atom=-4.40 space_group="P4/mmm (123)" magmom_total_mub_per_cell=0.000 ef_ev_per_fu=-3.55 pbc="T T T"
Pm 1.182 4.951 1.362
Pm 2.222 9.303 2.558
Sn 1.354 -1.097 2.814
Sn 2.490 3.656 4.121
Sn 3.624 8.403 5.427
Sn -0.201 2.044 2.841
Sn 0.916 6.719 4.127
Sn 2.032 11.394 5.412
Sn 2.727 1.763 1.322
Sn 3.843 6.438 2.608
Sn 4.960 11.112 3.893
Pb 0.000 0.000 0.000

18
Lattice="7.651 -0.918 -2.969 -4.498 6.764 -1.489 -0.252 0.918 8.203" Properties=species:S:1:pos:R:3 comment="Ce6Ni2Os (PBE-GGA, optimized geometry)" dos_at_fermi_per_ev_fu=19.58 final_energy_ev_per_atom=-6.62 space_group="Immm (71)" magmom_total_mub_per_cell=0.000 ef_ev_per_fu=-1.18 pbc="T T T"
Ce 0.559 4.919 4.199
Ce 2.343 1.845 -0.454
Ce -0.604 2.763 5.843
Ce 3.506 4.001 -2.097
Ce 2.619 5.067 1.321
Ce 0.283 1.697 2.425
Ce -2.369 5.986 6.173
Ce 5.271 0.778 -2.428
Ce 3.679 2.519 2.647
Ce -0.777 4.245 1.098
Ce -2.251 6.629 3.182
Ce 5.153 0.135 0.564
Ni 2.101 2.585 4.877
Ni 0.800 4.179 -1.132
Ni 4.858 0.000 3.437
Ni 2.542 0.000 1.798
Os -2.375 3.841 3.357
Os 0.000 0.000 0.000